Entry 1:
Sc2AlFe | Alexandria | PBE | relaxed; volume = 17.3 Å³/atom; ΔE_f = -7.26 kcal/mol of atoms; theoretical density = 4.14 g cm⁻³
1.0
-0.6487 -1.7063 2.6518
1.8428 -2.3897 -1.0868
7.1618 0.3287 1.9634
Fe Al Sc
1 1 2
direct
0.5000 0.7500 0.7500
0.5000 0.2500 0.2500
0.0000 0.4697 0.5310
0.0000 0.0303 0.9690

Entry 2:
Be5FeRu | Alexandria | PBE | relaxed; volume = 9.3 Å³/atom; ΔE_f = -2.67 kcal/mol of atoms; theoretical density = 5.15 g cm⁻³
1.0
4.1033 0.0000 0.0000
0.0000 7.0060 0.0000
0.0000 0.0000 9.0530
Be Ru Fe
20 4 4
direct
0.7500 0.8044 0.7357
0.5095 0.4417 0.1923
0.7500 0.5280 0.6000
0.4905 0.5583 0.8077
0.2500 0.4720 0.4000
0.2500 0.6956 0.2357
0.5095 0.9417 0.3077
0.9905 0.9417 0.3077
0.2500 0.9720 0.1000
0.0095 0.5583 0.8077
0.0095 0.0583 0.6923
0.2500 0.1956 0.2643
0.4905 0.0583 0.6923
0.2500 0.5820 0.0139
0.7500 0.4180 0.9861
0.2500 0.0820 0.4861
0.7500 0.9180 0.5139
0.9905 0.4417 0.1923
0.7500 0.3044 0.7643
0.7500 0.0280 0.9000
0.2500 0.3517 0.6292
0.2500 0.8517 0.8708
0.7500 0.1483 0.1292
0.7500 0.6483 0.3708
0.7500 0.2507 0.4207
0.2500 0.2493 0.9207
0.7500 0.7507 0.0793
0.2500 0.7493 0.5793

Entry 3:
Mn5CuTe8 | Alexandria | PBE | relaxed; formation energy from raw total energies = -14.7 kJ/mol of atoms; volume = 26.7 Å³/atom; theoretical density = 6.03 g cm⁻³
1.0
-5.6811 1.7859 5.4736
-7.4372 -3.0944 -0.7331
-2.5512 -5.6666 5.1775
Te Mn Cu
8 5 1
direct
0.8658 0.4025 0.8658
0.8575 0.3808 0.3808
0.3808 0.3808 0.3808
0.8658 0.8658 0.8658
0.3808 0.8575 0.3808
0.4025 0.8658 0.8658
0.3808 0.3808 0.8575
0.8658 0.8658 0.4025
0.0000 0.0000 0.0000
0.6217 0.6217 0.1348
0.6217 0.6217 0.6217
0.6217 0.1348 0.6217
0.1348 0.6217 0.6217
0.2500 0.2500 0.2500

Entry 4:
Ta2NbW8 | Alexandria | PBE | relaxed; volume = 16.6 Å³/atom; ΔE_f = -1.77 kcal/mol of atoms; theoretical density = 17.49 g cm⁻³
1.0
-2.7990 0.5764 -1.4720
-0.4032 -6.9268 -1.9457
-5.3770 -3.4454 5.3654
W Nb Ta
8 1 2
direct
0.1804 0.9120 0.6080
0.4537 0.2765 0.0613
0.8187 0.0885 0.3314
0.9100 0.5473 0.1488
0.3635 0.8189 0.2417
0.0891 0.4532 0.7906
0.5453 0.7241 0.8781
0.6355 0.1816 0.6977
0.9995 0.0003 0.9697
0.7265 0.6405 0.5158
0.2726 0.3600 0.4236

Entry 5:
Y2CrSe | Alexandria | PBE | relaxed; formation energy from raw total energies = -57.6 kJ/mol of atoms; volume = 23.0 Å³/atom; theoretical density = 5.57 g cm⁻³
1.0
5.8352 -0.0050 0.0057
4.5421 3.6631 0.0057
-0.0040 -0.0014 4.3039
Se Cr Y
1 1 2
direct
0.3011 0.3011 0.1248
0.4526 0.4526 0.6252
0.0193 0.0193 0.1252
0.7270 0.7270 0.6248

Entry 6:
AgIr3W | Alexandria | PBE | relaxed; volume = 21.5 Å³/atom; E above lowest polymorph = 0 meV per atom; ΔE_f = 36.03 kcal/mol of atoms; theoretical density = 13.44 g cm⁻³
1.0
-0.9218 4.6554 -0.2287
-2.7671 -0.3589 3.8456
3.7508 0.8793 2.7809
Ir Ag W
3 1 1
direct
0.0000 0.5000 0.0000
0.0000 0.0000 0.5000
0.5000 0.0000 0.0000
0.5000 0.5000 0.5000
0.0000 0.0000 0.0000

- Which of these has the lowest volume?
  Be5FeRu

- What is the theoretical density in the sixth record?
  13.44 g cm⁻³